A geometry-optimized La2FeF structure. Source: the Alexandria database, functional PBE+U.

Cell: 6.0949 6.0949 12.6316 Å, 90.00 90.00 90.00°
Fractional coordinates of all 16 atoms:
1 La 0.1932 0.2500 0.1250
2 La 0.2500 0.6932 0.3750
3 La 0.2500 0.8068 0.8750
4 La 0.3068 0.2500 0.6250
5 La 0.6932 0.7500 0.6250
6 La 0.7500 0.1932 0.8750
7 La 0.7500 0.3068 0.3750
8 La 0.8068 0.7500 0.1250
9 Fe 0.0000 0.0000 0.5000
10 Fe 0.0000 0.5000 0.7500
11 Fe 0.5000 0.0000 0.2500
12 Fe 0.5000 0.5000 0.0000
13 F 0.0000 0.0000 0.0000
14 F 0.0000 0.5000 0.2500
15 F 0.5000 0.0000 0.7500
16 F 0.5000 0.5000 0.5000

Summary:
The distance to the lowest polymorph of the same formula is 0.0000 eV/atom. The space-group type is No. 122. The total magnetization comes out at 0.718 μB per atom.